(1)
This record from the Alexandria database describes a relaxed CoIr2Ru crystal. The functional is GGA-PBE.

Properties
Fermi-level density of states in states/eV per cell: 4.75
Magnetic moment in Bohr magnetons per cell: 1.32
Calculated formation energy in kJ per mole of atoms: 0.9

The structure in CIF format:
```
data_CoIr2Ru
_chemical_formula_sum 'Co1 Ir2 Ru1'
_cell_length_a 2.704
_cell_length_b 3.747
_cell_length_c 5.344
_cell_angle_alpha 90.00
_cell_angle_beta 90.00
_cell_angle_gamma 90.00
_symmetry_space_group_name_H-M 'P m m m'
_symmetry_Int_Tables_number 47
_symmetry_space_group_name_Hall '-P 2 2'
loop_
_atom_site_label
_atom_site_type_symbol
_atom_site_fract_x
_atom_site_fract_y
_atom_site_fract_z
Co1 Co 0.000 0.000 0.000
Ir1 Ir 0.500 0.500 0.243
Ru1 Ru 0.000 0.000 0.500
```

=====

(2)
This record from the Alexandria database describes a relaxed Co2IrRu crystal. The functional is GGA-PBE.

Properties
Fermi-level density of states in states/eV per cell: 9.81
Magnetic moment in Bohr magnetons per cell: 4.17
Calculated formation energy in kJ per mole of atoms: 5.1

The structure in CIF format:
```
data_Co2IrRu
_chemical_formula_sum 'Co4 Ir2 Ru2'
_cell_length_a 3.652
_cell_length_b 3.652
_cell_length_c 7.497
_cell_angle_alpha 90.00
_cell_angle_beta 90.00
_cell_angle_gamma 90.00
_symmetry_space_group_name_H-M 'I -4 m 2'
_symmetry_Int_Tables_number 119
_symmetry_space_group_name_Hall 'I -4 -2'
loop_
_atom_site_label
_atom_site_type_symbol
_atom_site_fract_x
_atom_site_fract_y
_atom_site_fract_z
Co1 Co 0.000 0.000 0.000
Co2 Co 0.000 0.500 0.250
Ir1 Ir 0.000 0.500 0.750
Ru1 Ru 0.000 0.000 0.500
```

=====

(3)
This record from the Alexandria database describes a relaxed Co2IrRu crystal. The functional is GGA-PBE.

Properties
Fermi-level density of states in states/eV per cell: 12.33
Magnetic moment in Bohr magnetons per cell: 5.28
Calculated formation energy in kJ per mole of atoms: 10.5

The structure in CIF format:
```
data_Co2IrRu
_chemical_formula_sum 'Co4 Ir2 Ru2'
_cell_length_a 8.520
_cell_length_b 2.642
_cell_length_c 4.590
_cell_angle_alpha 90.00
_cell_angle_beta 100.18
_cell_angle_gamma 90.00
_symmetry_space_group_name_H-M 'C 1 2/m 1'
_symmetry_Int_Tables_number 12
_symmetry_space_group_name_Hall '-C 2y'
loop_
_atom_site_label
_atom_site_type_symbol
_atom_site_fract_x
_atom_site_fract_y
_atom_site_fract_z
Co1 Co 0.250 0.000 0.247
Ir1 Ir 0.000 0.000 0.500
Ru1 Ru 0.000 0.500 0.000
```

=====

(4)
This record from the Alexandria database describes a relaxed CoIr3Ru2 crystal. The functional is GGA-PBE.

Properties
Fermi-level density of states in states/eV per cell: 12.47
Distance to the lowest polymorph of the same formula in meV per atom: 0
Magnetic moment in Bohr magnetons per cell: 1.14
Calculated formation energy in kJ per mole of atoms: 1.1

The structure in CIF format:
```
data_CoIr3Ru2
_chemical_formula_sum 'Co2 Ir6 Ru4'
_cell_length_a 5.370
_cell_length_b 3.791
_cell_length_c 8.092
_cell_angle_alpha 90.00
_cell_angle_beta 90.26
_cell_angle_gamma 90.00
_symmetry_space_group_name_H-M 'P 1 21/m 1'
_symmetry_Int_Tables_number 11
_symmetry_space_group_name_Hall '-P 2yb'
loop_
_atom_site_label
_atom_site_type_symbol
_atom_site_fract_x
_atom_site_fract_y
_atom_site_fract_z
Co1 Co 0.126 0.250 0.253
Ir1 Ir 0.120 0.250 0.914
Ir2 Ir 0.369 0.750 0.416
Ir3 Ir 0.376 0.750 0.752
Ru1 Ru 0.119 0.250 0.583
Ru2 Ru 0.374 0.750 0.080
```

=====

(5)
This record from the Alexandria database describes a relaxed CoIr2Ru crystal. The functional is GGA-PBE.

Properties
Fermi-level density of states in states/eV per cell: 13.57
Magnetic moment in Bohr magnetons per cell: 3.83
Calculated formation energy in kJ per mole of atoms: 27.8

The structure in CIF format:
```
data_CoIr2Ru
_chemical_formula_sum 'Co2 Ir4 Ru2'
_cell_length_a 2.728
_cell_length_b 4.434
_cell_length_c 9.131
_cell_angle_alpha 90.00
_cell_angle_beta 90.00
_cell_angle_gamma 90.00
_symmetry_space_group_name_H-M 'I m m m'
_symmetry_Int_Tables_number 71
_symmetry_space_group_name_Hall '-I 2 2'
loop_
_atom_site_label
_atom_site_type_symbol
_atom_site_fract_x
_atom_site_fract_y
_atom_site_fract_z
Co1 Co 0.000 0.000 0.000
Ir1 Ir 0.000 0.500 0.274
Ru1 Ru 0.000 0.000 0.500
```

=====

(6)
This record from the Alexandria database describes a relaxed Co2IrRu crystal. The functional is GGA-PBE.

Properties
Fermi-level density of states in states/eV per cell: 15.36
Magnetic moment in Bohr magnetons per cell: 11.02
Calculated formation energy in kJ per mole of atoms: 12.4

The structure in CIF format:
```
data_Co2IrRu
_chemical_formula_sum 'Co6 Ir3 Ru3'
_cell_length_a 2.6634
_cell_length_b 2.6634
_cell_length_c 25.1866
_cell_angle_alpha 90.00
_cell_angle_beta 90.00
_cell_angle_gamma 120.00
_symmetry_space_group_name_H-M 'R 3 m'
_symmetry_Int_Tables_number 160
_symmetry_space_group_name_Hall 'R 3 -2"'
loop_
_atom_site_label
_atom_site_type_symbol
_atom_site_fract_x
_atom_site_fract_y
_atom_site_fract_z
Co1 Co 0.0000 0.0000 0.0000
Co2 Co 0.0000 0.0000 0.2564
Ir1 Ir 0.0000 0.0000 0.7510
Ru1 Ru 0.0000 0.0000 0.5062
```

=====

(7)
This record from the Alexandria database describes a relaxed CoIr2Ru crystal. The functional is GGA-PBE.

Properties
Fermi-level density of states in states/eV per cell: 12.64
Magnetic moment in Bohr magnetons per cell: 6.46
Calculated formation energy in kJ per mole of atoms: 33.2

The structure in CIF format:
```
data_CoIr2Ru
_chemical_formula_sum 'Co2 Ir4 Ru2'
_cell_length_a 2.716
_cell_length_b 4.621
_cell_length_c 9.004
_cell_angle_alpha 90.00
_cell_angle_beta 90.00
_cell_angle_gamma 90.00
_symmetry_space_group_name_H-M 'C m m m'
_symmetry_Int_Tables_number 65
_symmetry_space_group_name_Hall '-C 2 2'
loop_
_atom_site_label
_atom_site_type_symbol
_atom_site_fract_x
_atom_site_fract_y
_atom_site_fract_z
Co1 Co 0.000 0.000 0.000
Ir1 Ir 0.000 0.500 0.241
Ru1 Ru 0.000 0.000 0.500
```

=====

(8)
This record from the Alexandria database describes a relaxed Co2IrRu crystal. The functional is GGA-PBE.

Properties
Fermi-level density of states in states/eV per cell: 9.46
Magnetic moment in Bohr magnetons per cell: 4.41
Calculated formation energy in kJ per mole of atoms: 8.9

The structure in CIF format:
```
data_Co2IrRu
_chemical_formula_sum 'Co4 Ir2 Ru2'
_cell_length_a 3.726
_cell_length_b 3.726
_cell_length_c 7.201
_cell_angle_alpha 90.00
_cell_angle_beta 90.00
_cell_angle_gamma 90.00
_symmetry_space_group_name_H-M 'I 4/m m m'
_symmetry_Int_Tables_number 139
_symmetry_space_group_name_Hall '-I 4 2'
loop_
_atom_site_label
_atom_site_type_symbol
_atom_site_fract_x
_atom_site_fract_y
_atom_site_fract_z
Co1 Co 0.000 0.500 0.250
Ir1 Ir 0.000 0.000 0.000
Ru1 Ru 0.000 0.000 0.500
```

=====

(9)
This record from the Alexandria database describes a relaxed CoIr2Ru crystal. The functional is GGA-PBE.

Properties
Fermi-level density of states in states/eV per cell: 10.50
Magnetic moment in Bohr magnetons per cell: 2.24
Calculated formation energy in kJ per mole of atoms: 2.1

The structure in CIF format:
```
data_CoIr2Ru
_chemical_formula_sum 'Co2 Ir4 Ru2'
_cell_length_a 3.772
_cell_length_b 3.772
_cell_length_c 7.591
_cell_angle_alpha 90.00
_cell_angle_beta 90.00
_cell_angle_gamma 90.00
_symmetry_space_group_name_H-M 'I 4/m m m'
_symmetry_Int_Tables_number 139
_symmetry_space_group_name_Hall '-I 4 2'
loop_
_atom_site_label
_atom_site_type_symbol
_atom_site_fract_x
_atom_site_fract_y
_atom_site_fract_z
Co1 Co 0.000 0.000 0.000
Ir1 Ir 0.000 0.500 0.250
Ru1 Ru 0.000 0.000 0.500
```

=====

(10)
This record from the Alexandria database describes a relaxed Co2IrRu crystal. The functional is GGA-PBE.

Properties
Fermi-level density of states in states/eV per cell: 36.14
Magnetic moment in Bohr magnetons per cell: 0.00
Calculated formation energy in kJ per mole of atoms: 64.9

The structure in CIF format:
```
data_Co2IrRu
_chemical_formula_sum 'Co8 Ir4 Ru4'
_cell_length_a 4.901
_cell_length_b 19.053
_cell_length_c 2.601
_cell_angle_alpha 90.00
_cell_angle_beta 108.10
_cell_angle_gamma 90.00
_symmetry_space_group_name_H-M 'C 1 2/c 1'
_symmetry_Int_Tables_number 15
_symmetry_space_group_name_Hall '-C 2yc'
loop_
_atom_site_label
_atom_site_type_symbol
_atom_site_fract_x
_atom_site_fract_y
_atom_site_fract_z
Co1 Co 0.215 0.053 0.111
Ir1 Ir 0.000 0.362 0.250
Ru1 Ru 0.250 0.250 0.000
```

=====

(11)
This record from the Alexandria database describes a relaxed Co2IrRu crystal. The functional is GGA-PBE.

Properties
Fermi-level density of states in states/eV per cell: 4.62
Magnetic moment in Bohr magnetons per cell: 1.95
Calculated formation energy in kJ per mole of atoms: 9.6

The structure in CIF format:
```
data_Co2IrRu
_chemical_formula_sum 'Co2 Ir1 Ru1'
_cell_length_a 2.634
_cell_length_b 3.611
_cell_length_c 5.251
_cell_angle_alpha 90.00
_cell_angle_beta 90.00
_cell_angle_gamma 90.00
_symmetry_space_group_name_H-M 'P m m m'
_symmetry_Int_Tables_number 47
_symmetry_space_group_name_Hall '-P 2 2'
loop_
_atom_site_label
_atom_site_type_symbol
_atom_site_fract_x
_atom_site_fract_y
_atom_site_fract_z
Co1 Co 0.000 0.000 0.248
Ir1 Ir 0.500 0.500 0.500
Ru1 Ru 0.500 0.500 0.000
```

=====

(12)
This record from the Alexandria database describes a relaxed CoIr6Ru2 crystal. The functional is GGA-PBE.

Properties
Fermi-level density of states in states/eV per cell: 18.65
Magnetic moment in Bohr magnetons per cell: 0.19
Calculated formation energy in kJ per mole of atoms: 0.3

The structure in CIF format:
```
data_CoIr6Ru2
_chemical_formula_sum 'Co2 Ir12 Ru4'
_cell_length_a 11.481
_cell_length_b 3.825
_cell_length_c 6.046
_cell_angle_alpha 90.00
_cell_angle_beta 108.41
_cell_angle_gamma 90.00
_symmetry_space_group_name_H-M 'C 1 2/m 1'
_symmetry_Int_Tables_number 12
_symmetry_space_group_name_Hall '-C 2y'
loop_
_atom_site_label
_atom_site_type_symbol
_atom_site_fract_x
_atom_site_fract_y
_atom_site_fract_z
Co1 Co 0.000 0.000 0.000
Ir1 Ir 0.108 0.000 0.665
Ir2 Ir 0.165 0.500 0.000
Ir3 Ir 0.219 0.000 0.333
Ru1 Ru 0.055 0.500 0.331
```